Computed, not measured: a relaxed structure of KCuBiS3 at the PBE level of DFT.

Summary:
magnetization	0.0	Bohr magnetons per cell
ρ	4.1	g/cm3
E_form (uncorrected)	-547	meV per atom

Lattice parameters (Å, degrees): 4.0181 9.0740 9.2014 102.44 90.00 90.00
Closest atoms and distances in Å follow each position.
Atoms (fractional coordinates):
Cu  0.2500  0.0853  0.5945  4 S 2.31-2.33
Cu  0.7500  0.9147  0.4055  4 S 2.31-2.33
S  0.7500  0.1682  0.5160  3 Cu 2.31
S  0.7500  0.8675  0.1461  1 Cu 2.33
S  0.2500  0.1325  0.8539  1 Cu 2.33
S  0.2500  0.8318  0.4840  3 Cu 2.31
S  0.2500  0.5749  0.8527  3 Bi 2.64-2.90
S  0.7500  0.4251  0.1473  3 Bi 2.64-2.90
K  0.7500  0.8324  0.7813  7 S 3.25-3.39
K  0.2500  0.1676  0.2187  7 S 3.25-3.39
Bi  0.2500  0.6548  0.1455  5 S 2.64-2.90
Bi  0.7500  0.3452  0.8545  5 S 2.64-2.90